Entry 1:
An optimized crystal structure of AgGeTeO. Source: the Open Quantum Materials Database, functional PBE.

a = 5.235 Å, b = 8.707 Å, c = 8.788 Å
α = 90.00°, β = 90.00°, γ = 90.00°
Space group P2_12_12_1 (No. 19)
Asymmetric unit:
Ag 0.235 0.201 0.056 (multiplicity 4)
Ge 0.198 0.712 0.107 (multiplicity 4)
Te 0.039 0.930 0.309 (multiplicity 4)
O 0.034 0.762 0.931 (multiplicity 4)

Properties
Its relative energy among the computed polymorphs is 0 meV/atom. As for the density: 5.37 g/cm3.


Entry 2:
An optimized crystal structure of AgGeTeO. Source: the Open Quantum Materials Database, functional PBE.

a = 6.423 Å, b = 6.727 Å, c = 8.543 Å
α = 90.00°, β = 90.00°, γ = 90.00°
Space group P2_12_12_1 (No. 19)
Asymmetric unit:
Ag 0.020 0.179 0.098 (multiplicity 4)
Ge 0.021 0.613 0.913 (multiplicity 4)
Te 0.234 0.961 0.835 (multiplicity 4)
O 0.209 0.449 0.979 (multiplicity 4)

Properties
Its relative energy among the computed polymorphs is 193 meV/atom. As for the density: 5.83 g/cm3.


Entry 3:
An optimized crystal structure of AgGeTeO. Source: the Open Quantum Materials Database, functional PBE.

a = 3.692 Å, b = 3.692 Å, c = 11.373 Å
α = 90.00°, β = 90.00°, γ = 90.00°
Space group P4/nmm (No. 129, origin choice 2)
Asymmetric unit:
Ag 0.250 0.250 0.114 (multiplicity 2)
Ge 0.250 0.750 0.500 (multiplicity 2)
Te 0.250 0.250 0.731 (multiplicity 2)
O 0.250 0.250 0.908 (multiplicity 2)

Properties
Its relative energy among the computed polymorphs is 598 meV/atom. As for the density: 6.94 g/cm3.


Entry 4:
An optimized crystal structure of AgGeTeO. Source: the Open Quantum Materials Database, functional PBE.

a = 7.297 Å, b = 8.044 Å, c = 5.747 Å
α = 90.00°, β = 90.00°, γ = 90.00°
Space group Pca2_1 (No. 29)
Asymmetric unit:
Ag 0.189 0.179 0.000 (multiplicity 4)
Ge 0.127 0.557 0.923 (multiplicity 4)
Te 0.054 0.854 0.129 (multiplicity 4)
O 0.004 0.571 0.637 (multiplicity 4)

Properties
Its relative energy among the computed polymorphs is 118 meV/atom. As for the density: 6.38 g/cm3.


Entry 5:
An optimized crystal structure of AgGeTeO. Source: the Open Quantum Materials Database, functional PBE.

a = 4.944 Å, b = 4.944 Å, c = 7.999 Å
α = 90.00°, β = 90.00°, γ = 90.00°
Space group P4/nmm (No. 129, origin choice 2)
Asymmetric unit:
Ag 0.250 0.250 0.178 (multiplicity 2)
Ge 0.250 0.250 0.662 (multiplicity 2)
Te 0.250 0.750 0.000 (multiplicity 2)
O 0.250 0.250 0.453 (multiplicity 2)

Properties
Its relative energy among the computed polymorphs is 268 meV/atom. As for the density: 5.50 g/cm3.


Entry 6:
An optimized crystal structure of AgGeTeO. Source: the Open Quantum Materials Database, functional PBE.

a = 4.267 Å, b = 4.267 Å, c = 8.997 Å
α = 90.00°, β = 90.00°, γ = 90.00°
Space group P4/nmm (No. 129, origin choice 2)
Asymmetric unit:
Ag 0.250 0.250 0.044 (multiplicity 2)
Ge 0.250 0.250 0.360 (multiplicity 2)
Te 0.250 0.250 0.665 (multiplicity 2)
O 0.250 0.750 0.000 (multiplicity 2)

Properties
Its relative energy among the computed polymorphs is 497 meV/atom. As for the density: 6.57 g/cm3.